# meta-GGA SCAN Ti3NiBr, single point on PBEsol structure
# E_tot, eV per atom: -15.972
# Energy relative to the elements, uncorrected, eV per atom: 0.773
data_Ti3NiBr
_cell_length_a 4.536
_cell_length_b 4.536
_cell_length_c 4.536
_cell_angle_alpha 90.00
_cell_angle_beta 90.00
_cell_angle_gamma 90.00
_space_group_name_H-M_alt 'P m -3 m'
_space_group_IT_number 221
_space_group_name_Hall '-P 4 2 3'
loop_
_atom_site_label
_atom_site_fract_x
_atom_site_fract_y
_atom_site_fract_z
Ti1 0.000 0.000 0.500
Ni1 0.500 0.500 0.500
Br1 0.000 0.000 0.000